1.
Ga2Ni12Ge5: relaxed, PBE.

Structure (POSCAR):
```
Ga2Ni12Ge5
1.0
6.724 -2.517 0.000
6.724 2.517 0.000
-2.342 0.000 7.567
Ga Ni Ge
2 12 5
Direct
0.243 0.757 0.000
0.757 0.243 0.000
0.053 0.564 0.893
0.097 0.590 0.404
0.105 0.105 0.296
0.410 0.903 0.596
0.436 0.947 0.107
0.488 0.488 0.654
0.512 0.512 0.346
0.564 0.053 0.893
0.590 0.097 0.404
0.895 0.895 0.704
0.903 0.410 0.596
0.947 0.436 0.107
0.000 0.000 0.500
0.312 0.312 0.643
0.347 0.347 0.150
0.653 0.653 0.850
0.688 0.688 0.357
```

Properties
* formation energy from the elements: -0.14 eV per atom
* V: 256.1 Å³ per cell
* symmetry: No. 12
* DOS at the Fermi energy: 0.47 states/eV/atom


2.
BaTlTc2: relaxed, PBE.

Structure (POSCAR):
```
BaTlTc2
1.0
3.676 0.000 0.000
0.000 5.188 0.000
-0.715 0.000 6.047
Ba Tl Tc
1 1 2
Direct
0.000 0.000 0.000
0.500 0.000 0.500
0.274 0.500 0.617
0.726 0.500 0.383
```

Properties
* formation energy from the elements: 0.69 eV per atom
* V: 115.3 Å³ per cell
* symmetry: No. 10
* DOS at the Fermi energy: 1.21 states/eV/atom


3.
Pm2BeCl: relaxed, PBE.

Structure (POSCAR):
```
Pm2BeCl
1.0
1.989 1.148 7.201
-1.989 1.148 7.201
0.000 -2.297 7.201
Pm Be Cl
2 1 1
Direct
0.244 0.244 0.244
0.756 0.756 0.756
0.500 0.500 0.500
0.000 0.000 0.000
```

Properties
* E_form (uncorrected): -620.6 meV/atom
* V: 98.7 Å³ per cell
* symmetry: No. 166
* DOS at the Fermi energy: 0.94 states/eV/atom


4.
BaZr3Co: relaxed, PBE.

Structure (POSCAR):
```
BaZr3Co
1.0
5.062 0.000 0.000
0.000 5.062 0.000
0.000 0.000 5.062
Ba Zr Co
1 3 1
Direct
0.000 0.000 0.000
0.000 0.500 0.500
0.500 0.000 0.500
0.500 0.500 0.000
0.500 0.500 0.500
```

Properties
* formation energy from the elements: 0.30 eV per atom
* V: 129.7 Å³ per cell
* symmetry: No. 221
* DOS at the Fermi energy: 1.69 states/eV/atom


5.
Sr2Ag2Pd: relaxed, PBE.

Structure (POSCAR):
```
Sr2Ag2Pd
1.0
8.449 0.000 0.000
0.000 8.449 0.000
0.000 0.000 4.107
Sr Ag Pd
4 4 2
Direct
0.178 0.322 0.000
0.322 0.822 0.000
0.678 0.178 0.000
0.822 0.678 0.000
0.118 0.618 0.500
0.382 0.118 0.500
0.618 0.882 0.500
0.882 0.382 0.500
0.000 0.000 0.000
0.500 0.500 0.000
```

Properties
* formation energy from the elements: -0.08 eV per atom
* V: 293.2 Å³ per cell
* symmetry: No. 127
* DOS at the Fermi energy: 0.17 states/eV/atom


6.
SrPHO2: relaxed, PBE.

Structure (POSCAR):
```
SrPHO2
1.0
4.361 0.000 0.000
0.000 4.361 0.000
0.000 0.000 3.102
Sr P H O
1 1 1 2
Direct
0.000 0.000 0.000
0.500 0.500 0.000
0.500 0.500 0.500
0.000 0.500 0.500
0.500 0.000 0.500
```

Properties
* V: 59.0 Å³ per cell
* total DFT energy (no corrections): -22.895 eV/cell
* symmetry: No. 123
* DOS at the Fermi energy: 0.25 states/eV/atom


7.
Ba2SiPb: relaxed, PBE.

Structure (POSCAR):
```
Ba2SiPb
1.0
2.311 1.334 9.340
-2.311 1.334 9.340
0.000 -2.669 9.340
Ba Si Pb
2 1 1
Direct
0.000 0.000 0.000
0.189 0.189 0.189
0.736 0.736 0.736
0.439 0.439 0.439
```

Properties
* E_form (uncorrected): -207.0 meV/atom
* V: 172.8 Å³ per cell
* symmetry: No. 160
* DOS at the Fermi energy: 0.78 states/eV/atom


8.
GePtN3: relaxed, PBE.

Structure (POSCAR):
```
GePtN3
1.0
3.771 0.000 0.000
0.000 3.771 0.000
0.000 0.000 3.771
Ge Pt N
1 1 3
Direct
0.000 0.000 0.000
0.500 0.500 0.500
0.000 0.000 0.500
0.000 0.500 0.000
0.500 0.000 0.000
```

Properties
* E_form (uncorrected): 1740.8 meV/atom
* V: 53.6 Å³ per cell
* symmetry: No. 221
* DOS at the Fermi energy: 0.70 states/eV/atom


9.
PrHoAlGe: relaxed, PBE.

Structure (POSCAR):
```
PrHoAlGe
1.0
4.088 0.000 0.000
0.000 2.235 5.546
0.000 -2.235 5.546
Pr Ho Al Ge
1 1 1 1
Direct
0.000 0.000 0.000
0.500 0.282 0.282
0.000 0.717 0.717
0.500 0.568 0.568
```

Properties
* formation energy from the elements: -0.66 eV per atom
* V: 101.3 Å³ per cell
* symmetry: No. 38
* DOS at the Fermi energy: 0.77 states/eV/atom


10.
AlPtSe4: relaxed, PBE.

Structure (POSCAR):
```
AlPtSe4
1.0
6.319 0.000 0.000
0.000 3.872 0.000
-3.084 0.000 5.666
Al Pt Se
1 1 4
Direct
0.000 0.000 0.000
0.500 0.500 0.000
0.048 0.500 0.761
0.456 0.000 0.232
0.544 0.000 0.768
0.952 0.500 0.239
```

Properties
* E_form (uncorrected): -503.7 meV/atom
* V: 138.6 Å³ per cell
* symmetry: No. 10
* DOS at the Fermi energy: 0.27 states/eV/atom


11.
KBaTeN2: relaxed, PBE.

Structure (POSCAR):
```
KBaTeN2
1.0
5.368 0.000 0.000
0.000 5.368 0.000
0.000 0.000 6.916
K Ba Te N
1 1 1 2
Direct
0.000 0.000 0.000
0.500 0.500 0.500
0.500 0.500 0.000
0.000 0.500 0.500
0.500 0.000 0.500
```

Properties
* E_form (uncorrected): 843.4 meV/atom
* V: 199.3 Å³ per cell
* symmetry: No. 123
* DOS at the Fermi energy: 0.73 states/eV/atom


12.
TlCoPd2W: relaxed, PBE.

Structure (POSCAR):
```
TlCoPd2W
1.0
4.706 0.000 0.000
0.000 4.706 0.000
0.000 0.000 4.330
Tl Co Pd W
1 1 2 1
Direct
0.000 0.000 0.000
0.500 0.500 0.500
0.000 0.500 0.500
0.500 0.000 0.500
0.500 0.500 0.000
```

Properties
* formation energy from the elements: 0.97 eV per atom
* V: 95.9 Å³ per cell
* symmetry: No. 123
* DOS at the Fermi energy: 1.15 states/eV/atom